[1]
Crystalline CoCu2Bi2 at its relaxed geometry. Source: Alexandria via LeMat-Bulk, functional PBE-GGA.

VASP energy   -42.347 eV per cell
Mass density   10.37 g cm⁻³

Unit cell a=3.3880 b=3.3880 c=16.8483 alpha=90.00 beta=90.00 gamma=90.00
Last column: nearest neighbours and their distance in Å.
Space group I4/mmm (No. 139)
Inequivalent atoms, fractional coordinates:
Co 0.0000 0.0000 0.0000  8 Bi 2.94
Cu 0.0000 0.5000 0.2500  4 Cu 2.40
Bi 0.0000 0.0000 0.3994  4 Co 2.94, 4 Cu 3.03

[2]
Crystalline CoCu2Bi at its relaxed geometry. Source: Alexandria via LeMat-Bulk, functional PBE-GGA.

VASP energy   -68.567 eV per cell
Mass density   9.91 g cm⁻³

Unit cell a=3.7614 b=3.7614 c=18.7221 alpha=90.00 beta=90.00 gamma=90.00
Last column: nearest neighbours and their distance in Å.
Space group I-42d (No. 122)
Inequivalent atoms, fractional coordinates:
Co 0.0000 0.0000 0.0000  4 Cu 2.65, 4 Bi 2.66
Cu 0.2137 0.2500 0.1250  2 Cu 2.47, 2 Co 2.65, 2 Bi 2.74
Bi 0.0000 0.0000 0.5000  4 Co 2.66, 4 Cu 2.74

[3]
Crystalline Co3CuBi at its relaxed geometry. Source: Alexandria via LeMat-Bulk, functional PBE-GGA.

VASP energy   -20.706 eV per cell
Mass density   6.73 g cm⁻³

Unit cell a=4.8038 b=4.8038 c=4.8038 alpha=90.00 beta=90.00 gamma=90.00
Last column: nearest neighbours and their distance in Å.
Space group Pm-3m (No. 221)
Inequivalent atoms, fractional coordinates:
Co 0.0000 0.0000 0.5000  2 Bi 2.40
Cu 0.5000 0.5000 0.5000  12 Co 3.40
Bi 0.0000 0.0000 0.0000  6 Co 2.40

[4]
Crystalline CoCuBi3 at its relaxed geometry. Source: Alexandria via LeMat-Bulk, functional PBE-GGA.

VASP energy   -19.938 eV per cell
Mass density   9.44 g cm⁻³

Unit cell a=5.0891 b=5.0891 c=5.0891 alpha=90.00 beta=90.00 gamma=90.00
Last column: nearest neighbours and their distance in Å.
Space group Pm-3m (No. 221)
Inequivalent atoms, fractional coordinates:
Co 0.0000 0.0000 0.0000  6 Bi 2.54
Cu 0.5000 0.5000 0.5000  12 Bi 3.60
Bi 0.0000 0.0000 0.5000  2 Co 2.54

[5]
Crystalline Co3CuBi at its relaxed geometry. Source: Alexandria via LeMat-Bulk, functional PBE-GGA.

VASP energy   -24.311 eV per cell
Mass density   8.78 g cm⁻³

Unit cell a=4.3972 b=4.3972 c=4.3972 alpha=90.00 beta=90.00 gamma=90.00
Last column: nearest neighbours and their distance in Å.
Space group Pm-3m (No. 221)
Inequivalent atoms, fractional coordinates:
Co 0.0000 0.0000 0.5000  2 Cu 2.20
Cu 0.0000 0.0000 0.0000  6 Co 2.20
Bi 0.5000 0.5000 0.5000  12 Co 3.11

[6]
Crystalline Co2CuBi at its relaxed geometry. Source: Alexandria via LeMat-Bulk, functional PBE-GGA.

VASP energy   -79.528 eV per cell
Mass density   9.57 g cm⁻³

Unit cell a=3.9127 b=3.9127 c=17.6980 alpha=90.00 beta=90.00 gamma=90.00
Last column: nearest neighbours and their distance in Å.
Space group I-42d (No. 122)
Inequivalent atoms, fractional coordinates:
Co 0.1557 0.2500 0.1250  2 Co 2.30, 2 Cu 2.49
Cu 0.0000 0.0000 0.0000  4 Co 2.49, 4 Bi 2.77
Bi 0.0000 0.0000 0.5000  4 Cu 2.77, 4 Co 2.77

[7]
Crystalline CoCu2Bi2 at its relaxed geometry. Source: Alexandria via LeMat-Bulk, functional PBE-GGA.

VASP energy   -41.828 eV per cell
Mass density   10.52 g cm⁻³

Unit cell a=6.8702 b=6.8702 c=4.0391 alpha=90.00 beta=90.00 gamma=90.00
Last column: nearest neighbours and their distance in Å.
Space group P4/mbm (No. 127)
Inequivalent atoms, fractional coordinates:
Co 0.0000 0.0000 0.0000  4 Cu 2.70
Cu 0.1296 0.3704 0.0000  1 Cu 2.52, 2 Co 2.70, 2 Bi 2.74
Bi 0.1793 0.6793 0.5000  6 Cu 2.74-2.95

[8]
Crystalline CoCu2Bi2 at its relaxed geometry. Source: Alexandria via LeMat-Bulk, functional PBE-GGA.

VASP energy   -40.973 eV per cell
Mass density   9.90 g cm⁻³

Unit cell a=7.1995 b=7.1995 c=3.9097 alpha=90.00 beta=90.00 gamma=90.00
Last column: nearest neighbours and their distance in Å.
Space group P4/mbm (No. 127)
Inequivalent atoms, fractional coordinates:
Co 0.0000 0.0000 0.0000  4 Bi 2.66
Cu 0.1226 0.3774 0.5000  1 Cu 2.50
Bi 0.1752 0.6752 0.0000  2 Co 2.66, 6 Cu 2.84-2.93

[9]
Crystalline LiCo2CuBi at its relaxed geometry. Source: Alexandria via LeMat-Bulk, functional PBE-GGA.

VASP energy   -17.982 eV per cell
Mass density   5.61 g cm⁻³

Unit cell a=4.8467 b=4.8467 c=5.0023 alpha=90.00 beta=90.00 gamma=90.00
Last column: nearest neighbours and their distance in Å.
Space group P4/mmm (No. 123)
Inequivalent atoms, fractional coordinates:
Li 0.0000 0.0000 0.0000  2 Bi 2.50
Co 0.0000 0.5000 0.5000  2 Bi 2.42
Cu 0.5000 0.5000 0.0000  4 Li 3.43, 8 Co 3.48
Bi 0.0000 0.0000 0.5000  4 Co 2.42, 2 Li 2.50